[1]
# CrAsRh

An optimized crystal structure of CrAsRh (PBE-GGA, Alexandria).

Unit cell a=5.780 b=5.780 c=5.780 alpha=90.00 beta=90.00 gamma=90.00
Space group F-43m (No. 216)
Unique sites:
Cr: 0.000 0.000 0.000
As: 0.250 0.250 0.750
Rh: 0.000 0.000 0.500

## Properties
**Magnetic moment**: 11.894 μB/cell
**Electronic total energy**: -7.40 eV/atom

---

[2]
# Cr2AsRh

An optimized crystal structure of Cr2AsRh (PBE-GGA, Alexandria).

Unit cell a=5.989 b=5.989 c=5.989 alpha=90.00 beta=90.00 gamma=90.00
Space group F-43m (No. 216)
Unique sites:
Cr: 0.000 0.000 0.000
Cr: 0.250 0.250 0.250
As: 0.000 0.000 0.500
Rh: 0.250 0.250 0.750

## Properties
**Magnetic moment**: 8.083 μB/cell
**Electronic total energy**: -7.83 eV/atom

---

[3]
# CrAsRh

An optimized crystal structure of CrAsRh (PBE-GGA, Alexandria).

Unit cell a=2.8325 b=2.8325 c=6.0967 alpha=90.00 beta=90.00 gamma=120.00
Space group P3m1 (No. 156)
Unique sites:
Cr: 0.0000 0.0000 0.0000
As: 0.3333 0.6667 0.6826
Rh: 0.6667 0.3333 0.3221

## Properties
**Magnetic moment**: 0.883 μB/cell
**Electronic total energy**: -7.13 eV/atom

---

[4]
# CrAsRh

An optimized crystal structure of CrAsRh (PBE-GGA, Alexandria).

Unit cell a=12.252 b=2.820 c=4.888 alpha=90.00 beta=90.00 gamma=90.00
Space group Amm2 (No. 38)
Unique sites:
Cr: 0.000 0.000 0.000
Cr: 0.500 0.000 0.003
As: 0.346 0.000 0.670
Rh: 0.160 0.000 0.333

## Properties
**Magnetic moment**: 0.010 μB/cell
**Electronic total energy**: -7.16 eV/atom

---

[5]
# Cr2AsRh

An optimized crystal structure of Cr2AsRh (PBE-GGA, Alexandria).

Unit cell a=3.625 b=3.625 c=7.927 alpha=90.00 beta=90.00 gamma=90.00
Space group I4/mmm (No. 139)
Unique sites:
Cr: 0.000 0.500 0.250
As: 0.000 0.000 0.000
Rh: 0.000 0.000 0.500

## Properties
**Magnetic moment**: 1.618 μB/cell
**Electronic total energy**: -7.79 eV/atom

---

[6]
# Cr2AsRh

An optimized crystal structure of Cr2AsRh (PBE-GGA, Alexandria).

Unit cell a=5.314 b=7.269 c=2.852 alpha=90.00 beta=90.00 gamma=90.00
Space group Cmmm (No. 65)
Unique sites:
Cr: 0.250 0.250 0.000
As: 0.000 0.000 0.500
Rh: 0.000 0.500 0.500

## Properties
**Magnetic moment**: 8.910 μB/cell
**Electronic total energy**: -7.74 eV/atom

---

[7]
# CrAsRh4

An optimized crystal structure of CrAsRh4 (PBE-GGA, Alexandria).

Unit cell a=7.263 b=7.263 c=7.263 alpha=90.00 beta=90.00 gamma=90.00
Space group F-43m (No. 216)
Unique sites:
Cr: 0.000 0.000 0.000
As: 0.250 0.250 0.750
Rh: 0.125 0.125 0.375

## Properties
**Magnetic moment**: 12.288 μB/cell
**Electronic total energy**: -6.93 eV/atom

---

[8]
# CrAsRh

An optimized crystal structure of CrAsRh (PBE-GGA, Alexandria).

Unit cell a=6.4899 b=6.4899 c=3.7364 alpha=90.00 beta=90.00 gamma=120.00
Space group P-62m (No. 189)
Unique sites:
Cr: 0.0000 0.4078 0.0000
As: 0.0000 0.0000 0.0000
As: 0.3333 0.6667 0.5000
Rh: 0.0000 0.7450 0.5000

## Properties
**Magnetic moment**: 10.608 μB/cell
**Electronic total energy**: -7.47 eV/atom

---

[9]
# Cr2AsRh

An optimized crystal structure of Cr2AsRh (PBE-GGA, Alexandria).

Unit cell a=2.8329 b=2.8329 c=23.4289 alpha=90.00 beta=90.00 gamma=120.00
Space group R3m (No. 160, hexagonal axes)
Unique sites:
Cr: 0.0000 0.0000 0.0000
Cr: 0.0000 0.0000 0.2614
As: 0.0000 0.0000 0.7506
Rh: 0.0000 0.0000 0.5075

## Properties
**Magnetic moment**: 0.004 μB/cell
**Electronic total energy**: -7.67 eV/atom

---

[10]
# CrAsRh

An optimized crystal structure of CrAsRh (PBE-GGA, Alexandria).

Unit cell a=2.908 b=3.932 c=7.577 alpha=90.00 beta=90.00 gamma=90.00
Space group Imm2 (No. 44)
Unique sites:
Cr: 0.000 0.000 0.000
As: 0.000 0.000 0.325
Rh: 0.000 0.000 0.655

## Properties
**Magnetic moment**: 4.241 μB/cell
**Electronic total energy**: -7.19 eV/atom

---

[11]
# Cr2AsRh

An optimized crystal structure of Cr2AsRh (PBE-GGA, Alexandria).

Unit cell a=2.806 b=3.857 c=4.901 alpha=90.00 beta=90.00 gamma=90.00
Space group Pmmm (No. 47)
Unique sites:
Cr: 0.000 0.000 0.219
As: 0.500 0.500 0.000
Rh: 0.500 0.500 0.500

## Properties
**Magnetic moment**: 0.000 μB/cell
**Electronic total energy**: -7.75 eV/atom

---

[12]
# Cr2AsRh

An optimized crystal structure of Cr2AsRh (PBE-GGA, Alexandria).

Unit cell a=8.923 b=2.883 c=4.193 alpha=90.00 beta=102.19 gamma=90.00
Space group C2/m (No. 12)
Unique sites:
Cr: 0.250 0.000 0.249
As: 0.000 0.000 0.500
Rh: 0.000 0.500 0.000

## Properties
**Magnetic moment**: 0.003 μB/cell
**Electronic total energy**: -7.71 eV/atom

---

[13]
# Cr2AsRh

An optimized crystal structure of Cr2AsRh (PBE-GGA, Alexandria).

Unit cell a=3.895 b=3.895 c=3.703 alpha=90.00 beta=90.00 gamma=90.00
Space group P4/mmm (No. 123)
Unique sites:
Cr: 0.000 0.500 0.000
As: 0.000 0.000 0.500
Rh: 0.500 0.500 0.500

## Properties
**Magnetic moment**: 5.694 μB/cell
**Electronic total energy**: -7.78 eV/atom

---

[14]
# Cr2AsRh

An optimized crystal structure of Cr2AsRh (PBE-GGA, Alexandria).

Unit cell a=3.703 b=2.819 c=10.529 alpha=90.00 beta=90.00 gamma=90.00
Space group Amm2 (No. 38)
Unique sites:
Cr: 0.000 0.000 0.000
Cr: 0.500 0.000 0.362
As: 0.000 0.000 0.769
Rh: 0.500 0.000 0.612

## Properties
**Magnetic moment**: 6.007 μB/cell
**Electronic total energy**: -7.79 eV/atom

---

[15]
# Cr2AsRh

An optimized crystal structure of Cr2AsRh (PBE-GGA, Alexandria).

Unit cell a=3.796 b=3.796 c=7.665 alpha=90.00 beta=90.00 gamma=90.00
Space group I-4m2 (No. 119)
Unique sites:
Cr: 0.000 0.000 0.000
Cr: 0.000 0.500 0.250
As: 0.000 0.500 0.750
Rh: 0.000 0.000 0.500

## Properties
**Magnetic moment**: 0.248 μB/cell
**Electronic total energy**: -7.92 eV/atom

---

[16]
# CrAsRh

An optimized crystal structure of CrAsRh (PBE-GGA, Alexandria).

Unit cell a=2.938 b=2.938 c=9.525 alpha=90.00 beta=90.00 gamma=90.00
Space group I4mm (No. 107)
Unique sites:
Cr: 0.000 0.000 0.000
As: 0.000 0.000 0.639
Rh: 0.000 0.000 0.318

## Properties
**Magnetic moment**: 0.000 μB/cell
**Electronic total energy**: -7.21 eV/atom

---

[17]
# Cr2AsRh

An optimized crystal structure of Cr2AsRh (PBE-GGA, Alexandria).

Unit cell a=2.836 b=2.836 c=6.455 alpha=90.00 beta=90.00 gamma=90.00
Space group P4/mmm (No. 123)
Unique sites:
Cr: 0.000 0.000 0.231
As: 0.500 0.500 0.000
Rh: 0.500 0.500 0.500

## Properties
**Magnetic moment**: 0.000 μB/cell
**Electronic total energy**: -7.77 eV/atom

---

[18]
# CrAsRh

An optimized crystal structure of CrAsRh (PBE-GGA, Alexandria).

Unit cell a=4.1967 b=4.1967 c=2.9551 alpha=90.00 beta=90.00 gamma=120.00
Space group P-6m2 (No. 187)
Unique sites:
Cr: 0.0000 0.0000 0.0000
As: 0.6667 0.3333 0.5000
Rh: 0.3333 0.6667 0.5000

## Properties
**Magnetic moment**: 3.198 μB/cell
**Electronic total energy**: -7.33 eV/atom

---

[19]
# Cr2AsRh

An optimized crystal structure of Cr2AsRh (PBE-GGA, Alexandria).

Unit cell a=2.981 b=3.531 c=5.390 alpha=90.00 beta=90.00 gamma=90.00
Space group Pmm2 (No. 25)
Unique sites:
Cr: 0.000 0.000 0.000
Cr: 0.500 0.500 0.194
As: 0.500 0.500 0.713
Rh: 0.000 0.000 0.499

## Properties
**Magnetic moment**: 0.304 μB/cell
**Electronic total energy**: -7.80 eV/atom

---

[20]
# Cr2AsRh

An optimized crystal structure of Cr2AsRh (PBE-GGA, Alexandria).

Unit cell a=6.812 b=6.812 c=5.169 alpha=90.00 beta=90.00 gamma=90.00
Space group I-42d (No. 122)
Unique sites:
Cr: 0.242 0.750 0.125
As: 0.000 0.000 0.000
Rh: 0.000 0.000 0.500

## Properties
**Magnetic moment**: 17.461 μB/cell
**Electronic total energy**: -7.46 eV/atom

---

[21]
# Cr2AsRh

An optimized crystal structure of Cr2AsRh (PBE-GGA, Alexandria).

Unit cell a=2.732 b=3.926 c=4.962 alpha=90.00 beta=97.81 gamma=90.00
Space group P2/m (No. 10)
Unique sites:
Cr: 0.060 0.000 0.271
As: 0.500 0.500 0.500
Rh: 0.500 0.500 0.000

## Properties
**Magnetic moment**: 0.031 μB/cell
**Electronic total energy**: -7.74 eV/atom

---

[22]
# CrAs2Rh2

An optimized crystal structure of CrAs2Rh2 (PBE-GGA, Alexandria).

Unit cell a=7.069 b=7.069 c=2.972 alpha=90.00 beta=90.00 gamma=90.00
Space group P4/mbm (No. 127)
Unique sites:
Cr: 0.000 0.000 0.000
As: 0.159 0.341 0.000
Rh: 0.145 0.645 0.500

## Properties
**Magnetic moment**: 0.001 μB/cell
**Electronic total energy**: -6.66 eV/atom

---

[23]
# Cr2AsRh

An optimized crystal structure of Cr2AsRh (PBE-GGA, Alexandria).

Unit cell a=2.7426 b=2.7426 c=24.5401 alpha=90.00 beta=90.00 gamma=120.00
Space group R-3m (No. 166, hexagonal axes)
Unique sites:
Cr: 0.0000 0.0000 0.2484
As: 0.0000 0.0000 0.5000
Rh: 0.0000 0.0000 0.0000

## Properties
**Magnetic moment**: 3.762 μB/cell
**Electronic total energy**: -7.61 eV/atom

---

[24]
# CrAsRuRh

An optimized crystal structure of CrAsRuRh (PBE-GGA, Alexandria).

Unit cell a=6.094 b=6.094 c=6.094 alpha=90.00 beta=90.00 gamma=90.00
Space group F-43m (No. 216)
Unique sites:
Cr: 0.000 0.000 0.000
As: 0.000 0.000 0.500
Ru: 0.250 0.250 0.750
Rh: 0.250 0.250 0.250

## Properties
**Magnetic moment**: 15.714 μB/cell
**Electronic total energy**: -7.78 eV/atom

---

[25]
# CrAsRhSe2

An optimized crystal structure of CrAsRhSe2 (PBE-GGA, Alexandria).

Unit cell a=5.087 b=5.087 c=4.515 alpha=90.00 beta=90.00 gamma=90.00
Space group P4/mmm (No. 123)
Unique sites:
Cr: 0.000 0.000 0.000
As: 0.500 0.500 0.000
Rh: 0.500 0.500 0.500
Se: 0.000 0.500 0.500

## Properties
**Energy above the most stable polymorph in this dataset**: 0.00 kcal/mol of atoms
**Magnetic moment**: 3.851 μB/cell
**Electronic total energy**: -5.20 eV/atom

---

[26]
# CrSnAs2Rh

An optimized crystal structure of CrSnAs2Rh (PBE-GGA, Alexandria).

Unit cell a=4.574 b=4.574 c=4.799 alpha=90.00 beta=90.00 gamma=90.00
Space group P4/mmm (No. 123)
Unique sites:
Cr: 0.000 0.000 0.000
Sn: 0.500 0.500 0.500
As: 0.000 0.500 0.000
Rh: 0.000 0.000 0.500

## Properties
**Magnetic moment**: 0.000 μB/cell
**Electronic total energy**: -5.62 eV/atom

---

[27]
# CrTcAsRh

An optimized crystal structure of CrTcAsRh (PBE-GGA, Alexandria).

Unit cell a=6.089 b=6.089 c=6.089 alpha=90.00 beta=90.00 gamma=90.00
Space group F-43m (No. 216)
Unique sites:
Cr: 0.000 0.000 0.000
Tc: 0.250 0.250 0.750
As: 0.000 0.000 0.500
Rh: 0.250 0.250 0.250

## Properties
**Magnetic moment**: 11.769 μB/cell
**Electronic total energy**: -8.09 eV/atom

---

[28]
# ThCrAs2Rh5

An optimized crystal structure of ThCrAs2Rh5 (PBE-GGA, Alexandria).

Unit cell a=4.080 b=4.080 c=11.893 alpha=90.00 beta=90.00 gamma=90.00
Space group P4/mmm (No. 123)
Unique sites:
Th: 0.000 0.000 0.000
Cr: 0.500 0.500 0.500
As: 0.500 0.500 0.290
Rh: 0.000 0.500 0.180
Rh: 0.500 0.500 0.000

## Properties
**Magnetic moment**: 4.601 μB/cell
**Electronic total energy**: -7.25 eV/atom

---

[29]
# V2CrAsRh

An optimized crystal structure of V2CrAsRh (PBE-GGA, Alexandria).

Unit cell a=4.599 b=4.599 c=4.588 alpha=90.00 beta=90.00 gamma=90.00
Space group P4/mmm (No. 123)
Unique sites:
V: 0.000 0.500 0.000
Cr: 0.000 0.000 0.500
As: 0.500 0.500 0.500
Rh: 0.500 0.500 0.000

## Properties
**Magnetic moment**: 4.154 μB/cell
**Electronic total energy**: -6.63 eV/atom